Here is ZnS2NO after structural relaxation from Alexandria via LeMat-Bulk. Energies are from PBE.

Properties
The density of states at the Fermi level is 4.99 states/eV per cell. The calculation puts the energy above the most stable polymorph in this dataset at 0.287 eV/atom. The value obtained for the energy relative to the elements, uncorrected is 1.657 eV per atom. The value obtained for the volume is 17.69 Å³ per atom. Its crystal system is tetragonal.

Cell lengths 4.7854, 4.7854, 3.8636 Å; angles 90.00, 90.00, 90.00 degrees
With the nearest neighbours (Å) after each atom.
Space group P4/mmm (No. 123)
Symmetry-distinct sites (fractional):
Zn 0.0000 0.0000 0.0000  2 N 1.93
S 0.0000 0.5000 0.0000  2 Zn 2.39
N 0.0000 0.0000 0.5000  2 Zn 1.93
O 0.5000 0.5000 0.5000  8 S 3.08, 4 N 3.38